(1)
Entry from Alexandria: crystalline YH6Rh3 at its relaxed geometry (PBE).

Computed properties:
E ... -51.93 eV/cell

Unit cell a=4.9474 b=4.9474 c=4.9474 alpha=60.15 beta=60.15 gamma=60.15
With the nearest neighbours (Å) after each atom.
Positions (direct):
Y  0.0000  0.0000  0.0000  12 H 2.38-2.58
H  0.0060  0.5199  0.4805  2 Rh 1.77
H  0.1273  0.5008  0.8735  3 Rh 1.85
H  0.4805  0.0060  0.5199  2 Rh 1.77
H  0.5008  0.8735  0.1273  3 Rh 1.85
H  0.5199  0.4805  0.0060  2 Rh 1.77
H  0.8735  0.1273  0.5008  3 Rh 1.85
Rh  0.2481  0.2481  0.2481  6 H 1.77-1.85
Rh  0.4992  0.4992  0.4992  3 H 1.85
Rh  0.7522  0.7522  0.7522  6 H 1.77-1.85

(2)
Entry from Alexandria: crystalline Y3H12Rh5 at its relaxed geometry (PBE).

Computed properties:
E ... -416.33 eV/cell

Unit cell a=10.0295 b=10.0295 c=10.0295 alpha=109.47 beta=109.47 gamma=109.47
With the nearest neighbours (Å) after each atom.
Positions (direct):
Y  0.1250  0.2500  0.3750  8 H 2.32
Y  0.1250  0.3750  0.7500  8 H 2.32
Y  0.2500  0.3750  0.1250  8 H 2.32
Y  0.2500  0.8750  0.6250  8 H 2.32
Y  0.3750  0.1250  0.2500  8 H 2.32
Y  0.3750  0.7500  0.1250  8 H 2.32
Y  0.6250  0.2500  0.8750  8 H 2.32
Y  0.6250  0.8750  0.7500  8 H 2.32
Y  0.7500  0.1250  0.3750  8 H 2.32
Y  0.7500  0.6250  0.8750  8 H 2.32
Y  0.8750  0.6250  0.2500  8 H 2.32
Y  0.8750  0.7500  0.6250  8 H 2.32
H  0.0192  0.1928  0.1056  2 Rh 1.77
H  0.0192  0.3264  0.9136  2 Rh 1.77
H  0.0864  0.6056  0.4128  2 Rh 1.77
H  0.0864  0.9808  0.6736  2 Rh 1.77
H  0.0872  0.6928  0.6736  2 Rh 1.77
H  0.0872  0.8944  0.4136  2 Rh 1.77
H  0.1056  0.0192  0.1928  2 Rh 1.77
H  0.1056  0.5864  0.9128  2 Rh 1.77
H  0.1736  0.1928  0.5872  2 Rh 1.77
H  0.1736  0.4808  0.5864  2 Rh 1.77
H  0.1928  0.1056  0.0192  2 Rh 1.77
H  0.1928  0.5872  0.1736  2 Rh 1.77
H  0.3072  0.3264  0.9128  2 Rh 1.77
H  0.3072  0.4808  0.3944  2 Rh 1.77
H  0.3264  0.9128  0.3072  2 Rh 1.77
H  0.3264  0.9136  0.0192  2 Rh 1.77
H  0.3944  0.3072  0.4808  2 Rh 1.77
H  0.3944  0.5872  0.9136  2 Rh 1.77
H  0.4128  0.0864  0.6056  2 Rh 1.77
H  0.4128  0.8264  0.8072  2 Rh 1.77
H  0.4136  0.0872  0.8944  2 Rh 1.77
H  0.4136  0.8264  0.5192  2 Rh 1.77
H  0.4808  0.3944  0.3072  2 Rh 1.77
H  0.4808  0.5864  0.1736  2 Rh 1.77
H  0.5192  0.4136  0.8264  2 Rh 1.77
H  0.5192  0.6056  0.6928  2 Rh 1.77
H  0.5864  0.1736  0.4808  2 Rh 1.77
H  0.5864  0.9128  0.1056  2 Rh 1.77
H  0.5872  0.1736  0.1928  2 Rh 1.77
H  0.5872  0.9136  0.3944  2 Rh 1.77
H  0.6056  0.4128  0.0864  2 Rh 1.77
H  0.6056  0.6928  0.5192  2 Rh 1.77
H  0.6736  0.0864  0.9808  2 Rh 1.77
H  0.6736  0.0872  0.6928  2 Rh 1.77
H  0.6928  0.5192  0.6056  2 Rh 1.77
H  0.6928  0.6736  0.0872  2 Rh 1.77
H  0.8072  0.4128  0.8264  2 Rh 1.77
H  0.8072  0.8944  0.9808  2 Rh 1.77
H  0.8264  0.5192  0.4136  2 Rh 1.77
H  0.8264  0.8072  0.4128  2 Rh 1.77
H  0.8944  0.4136  0.0872  2 Rh 1.77
H  0.8944  0.9808  0.8072  2 Rh 1.77
H  0.9128  0.1056  0.5864  2 Rh 1.77
H  0.9128  0.3072  0.3264  2 Rh 1.77
H  0.9136  0.0192  0.3264  2 Rh 1.77
H  0.9136  0.3944  0.5872  2 Rh 1.77
H  0.9808  0.6736  0.0864  2 Rh 1.77
H  0.9808  0.8072  0.8944  2 Rh 1.77
Rh  0.0000  0.0000  0.0000  6 H 1.77
Rh  0.0000  0.0000  0.5000  6 H 1.77
Rh  0.0000  0.5000  0.0000  6 H 1.77
Rh  0.0000  0.5000  0.5000  6 H 1.77
Rh  0.1250  0.7500  0.8750  4 H 1.77
Rh  0.1250  0.8750  0.2500  4 H 1.77
Rh  0.2500  0.1250  0.8750  4 H 1.77
Rh  0.2500  0.6250  0.3750  4 H 1.77
Rh  0.3750  0.2500  0.6250  4 H 1.77
Rh  0.3750  0.6250  0.7500  4 H 1.77
Rh  0.5000  0.0000  0.0000  6 H 1.77
Rh  0.5000  0.0000  0.5000  6 H 1.77
Rh  0.5000  0.5000  0.0000  6 H 1.77
Rh  0.5000  0.5000  0.5000  6 H 1.77
Rh  0.6250  0.3750  0.2500  4 H 1.77
Rh  0.6250  0.7500  0.3750  4 H 1.77
Rh  0.7500  0.3750  0.6250  4 H 1.77
Rh  0.7500  0.8750  0.1250  4 H 1.77
Rh  0.8750  0.1250  0.7500  4 H 1.77
Rh  0.8750  0.2500  0.1250  4 H 1.77

(3)
Entry from Alexandria: crystalline YH6Rh2 at its relaxed geometry (PBE).

Computed properties:
Energy above the most stable polymorph in this dataset ... 72.9 meV per atom

Unit cell a=4.5131 b=4.5131 c=6.2122 alpha=114.83 beta=114.83 gamma=47.82
With the nearest neighbours (Å) after each atom.
Positions (direct):
Y  0.0000  0.0000  0.0000  6 H 2.18-2.29
H  0.0005  0.0005  0.3514  2 Rh 1.70-1.78, 1 H 1.85
H  0.9995  0.9995  0.6486  2 Rh 1.70-1.78, 1 H 1.85
H  0.2923  0.2923  0.3767  2 Rh 1.83
H  0.3162  0.3162  0.9385  1 Rh 1.68
H  0.6838  0.6838  0.0615  1 Rh 1.68
H  0.7077  0.7077  0.6233  2 Rh 1.83
Rh  0.2008  0.2008  0.6347  5 H 1.68-1.83
Rh  0.7992  0.7992  0.3653  5 H 1.68-1.83

(4)
Entry from Alexandria: crystalline YH2Rh2 at its relaxed geometry (PBE).

Computed properties:
Energy above the most stable polymorph in this dataset ... 13.5 meV per atom

Unit cell a=5.2465 b=5.2465 c=5.2465 alpha=139.75 beta=139.75 gamma=58.24
With the nearest neighbours (Å) after each atom.
Positions (direct):
Y  0.0000  0.0000  0.0000  8 H 2.92, 10 Rh 2.99-3.03
H  0.2500  0.7500  0.5000  4 Rh 1.95
H  0.7500  0.2500  0.5000  4 Rh 1.95
Rh  0.3307  0.3307  0.0000  4 H 1.95
Rh  0.6693  0.6693  0.0000  4 H 1.95

(5)
Entry from Alexandria: crystalline Y4HRh2 at its relaxed geometry (PBE).

Computed properties:
E ... -47.73 eV/cell

Unit cell a=7.8902 b=7.8902 c=7.8902 alpha=146.04 beta=146.04 gamma=48.78
With the nearest neighbours (Å) after each atom.
Positions (direct):
Y  0.0000  0.5000  0.5000  2 H 2.30
Y  0.1882  0.1882  0.0000  1 Rh 2.67, 1 H 2.70
Y  0.5000  0.0000  0.5000  2 H 2.30
Y  0.8118  0.8118  0.0000  1 Rh 2.67, 1 H 2.70
H  0.0000  0.0000  0.0000  4 Y 2.30
Rh  0.3739  0.3739  0.0000  5 Y 2.67-2.93
Rh  0.6261  0.6261  0.0000  5 Y 2.67-2.93

(6)
Entry from Alexandria: crystalline Y2HRh at its relaxed geometry (PBE).

Computed properties:
Energy above the most stable polymorph in this dataset ... 0.0 meV per atom

Unit cell a=7.1322 b=7.1322 c=6.8004 alpha=113.08 beta=113.08 gamma=30.02
With the nearest neighbours (Å) after each atom.
Positions (direct):
Y  0.0129  0.0129  0.2578  2 H 2.19-2.24
Y  0.2864  0.2864  0.2579  2 H 2.29
Y  0.7136  0.7136  0.7421  2 H 2.29
Y  0.9871  0.9871  0.7422  2 H 2.19-2.24
H  0.1103  0.1103  0.6053  4 Y 2.19-2.29
H  0.8897  0.8897  0.3947  4 Y 2.19-2.29
Rh  0.3821  0.3821  0.9260  7 Y 2.83-3.04, 1 Rh 2.99
Rh  0.6179  0.6179  0.0740  7 Y 2.83-3.04, 1 Rh 2.99

(7)
Entry from Alexandria: crystalline Y2H2Rh at its relaxed geometry (PBE).

Computed properties:
Energy above the most stable polymorph in this dataset ... 0.0 meV per atom

Unit cell a=6.7757 b=6.7757 c=6.7757 alpha=150.42 beta=150.42 gamma=42.33
With the nearest neighbours (Å) after each atom.
Positions (direct):
Y  0.1378  0.1378  0.0000  4 H 2.24
Y  0.8622  0.8622  0.0000  4 H 2.24
H  0.2500  0.7500  0.5000  4 Y 2.24, 4 H 2.45
H  0.7500  0.2500  0.5000  4 Y 2.24, 4 H 2.45
Rh  0.5000  0.5000  0.0000  8 Y 3.00

(8)
Entry from Alexandria: crystalline YH12Rh6 at its relaxed geometry (PBE).

Computed properties:
E ... -94.01 eV/cell

Unit cell a=5.4659 b=5.4659 c=5.4659 alpha=101.94 beta=101.94 gamma=101.94
With the nearest neighbours (Å) after each atom.
Positions (direct):
Y  0.0000  0.0000  0.0000  6 H 2.26
H  0.0437  0.3684  0.8667  3 Rh 1.81-1.83
H  0.1333  0.9563  0.6316  3 Rh 1.81-1.83
H  0.1810  0.5670  0.4500  3 Rh 1.77-1.89
H  0.3684  0.8667  0.0437  3 Rh 1.81-1.83
H  0.4330  0.5500  0.8190  3 Rh 1.77-1.89
H  0.4500  0.1810  0.5670  3 Rh 1.77-1.89
H  0.5500  0.8190  0.4330  3 Rh 1.77-1.89
H  0.5670  0.4500  0.1810  3 Rh 1.77-1.89
H  0.6316  0.1333  0.9563  3 Rh 1.81-1.83
H  0.8190  0.4330  0.5500  3 Rh 1.77-1.89
H  0.8667  0.0437  0.3684  3 Rh 1.81-1.83
H  0.9563  0.6316  0.1333  3 Rh 1.81-1.83
Rh  0.1625  0.2774  0.5813  6 H 1.77-1.89
Rh  0.2774  0.5813  0.1625  6 H 1.77-1.89
Rh  0.4187  0.8375  0.7226  6 H 1.77-1.89
Rh  0.5813  0.1625  0.2774  6 H 1.77-1.89
Rh  0.7226  0.4187  0.8375  6 H 1.77-1.89
Rh  0.8375  0.7226  0.4187  6 H 1.77-1.89

(9)
Entry from Alexandria: crystalline Y2HRh at its relaxed geometry (PBE).

Computed properties:
Energy above the most stable polymorph in this dataset ... 152.7 meV per atom

Unit cell a=6.4589 b=6.4589 c=6.4589 alpha=34.92 beta=34.92 gamma=34.92
With the nearest neighbours (Å) after each atom.
Positions (direct):
Y  0.2436  0.2436  0.2436  3 H 2.64, 3 Rh 2.77
Y  0.7564  0.7564  0.7564  3 H 2.64, 3 Rh 2.77
H  0.5000  0.5000  0.5000  6 Y 2.64
Rh  0.0000  0.0000  0.0000  6 Y 2.77

(10)
Entry from Alexandria: crystalline Y6HRh2 at its relaxed geometry (PBE).

Computed properties:
E ... -123.41 eV/cell

Unit cell a=6.3327 b=7.1644 c=11.3458 alpha=90.00 beta=122.68 gamma=90.00
With the nearest neighbours (Å) after each atom.
Positions (direct):
Y  0.1088  0.1756  0.4369  1 H 2.63, 2 Rh 2.81-2.91
Y  0.1088  0.3244  0.9369  1 H 2.63, 2 Rh 2.81-2.91
Y  0.2651  0.6734  0.4349  1 H 2.50
Y  0.2651  0.8266  0.9349  1 H 2.50
Y  0.3894  0.0347  0.2501  1 H 2.58, 2 Rh 2.78-2.88
Y  0.3894  0.4653  0.7501  1 H 2.58, 2 Rh 2.78-2.88
Y  0.6106  0.5347  0.2499  1 H 2.58, 2 Rh 2.78-2.88
Y  0.6106  0.9653  0.7499  1 H 2.58, 2 Rh 2.78-2.88
Y  0.7349  0.1734  0.0651  1 H 2.50
Y  0.7349  0.3266  0.5651  1 H 2.50
Y  0.8912  0.6756  0.0631  1 H 2.63, 2 Rh 2.81-2.91
Y  0.8912  0.8244  0.5631  1 H 2.63, 2 Rh 2.81-2.91
H  0.0000  0.0000  0.0000  6 Y 2.50-2.63
H  0.0000  0.5000  0.5000  6 Y 2.50-2.63
Rh  0.1824  0.1188  0.7410  6 Y 2.78-2.91
Rh  0.1824  0.3812  0.2410  6 Y 2.78-2.91
Rh  0.8176  0.6188  0.7590  6 Y 2.78-2.91
Rh  0.8176  0.8812  0.2590  6 Y 2.78-2.91

Q: Which formula does entry 4 have?
A: YH2Rh2